<i>
Material: V6TcW
Method: DFT, PBE
State: optimized geometry

The structure in CIF format:
```
data_V6TcW
_space_group_name_H-M_alt 'A m m 2'
_space_group_IT_number 38
_cell_length_a 4.288
_cell_length_b 6.074
_cell_length_c 8.527
_cell_angle_alpha 90.00
_cell_angle_beta 90.00
_cell_angle_gamma 90.00
loop_
_space_group_symop_operation_xyz
'x,y,z'
'-x,-y,z'
'-x,y,z'
'x,-y,z'
'x,y+1/2,z+1/2'
'-x,-y+1/2,z+1/2'
'-x,y+1/2,z+1/2'
'x,-y+1/2,z+1/2'
loop_
_atom_site_label
_atom_site_type_symbol
_atom_site_fract_x
_atom_site_fract_y
_atom_site_fract_z
V1 V 0.000 0.000 0.000
V2 V 0.000 0.247 0.247
V3 V 0.500 0.000 0.241
V4 V 0.500 0.249 0.497
Tc1 Tc 0.000 0.000 0.495
W1 W 0.500 0.000 0.751
```

Results
**Crystal system**: orthorhombic
**Magnetization**: 0.002 μB per formula unit
**Volume**: 222 Å³ per cell

***

<ii>
Material: V6TcW
Method: DFT, PBE
State: optimized geometry

The structure in CIF format:
```
data_V6TcW
_space_group_name_H-M_alt 'R -3'
_space_group_IT_number 148
_space_group_name_Hall '-R 3'
_cell_length_a 6.8425
_cell_length_b 6.8425
_cell_length_c 8.3653
_cell_angle_alpha 90.00
_cell_angle_beta 90.00
_cell_angle_gamma 120.00
loop_
_atom_site_label
_atom_site_type_symbol
_atom_site_fract_x
_atom_site_fract_y
_atom_site_fract_z
V1 V 0.0011 0.2503 0.2508
Tc1 Tc 0.0000 0.0000 0.5000
W1 W 0.0000 0.0000 0.0000
```

Results
**Crystal system**: trigonal
**Magnetization**: 0.000 μB per formula unit
**Volume**: 339 Å³ per cell

***

Short version: <i>, <ii>, most stable first.

***

<i>
Material: V2TcW6
Method: DFT, PBE
State: optimized geometry

The structure in CIF format:
```
data_V2TcW6
_space_group_name_H-M_alt 'P -1'
_space_group_IT_number 2
_cell_length_a 4.532
_cell_length_b 5.402
_cell_length_c 6.556
_cell_angle_alpha 80.83
_cell_angle_beta 69.85
_cell_angle_gamma 89.93
loop_
_space_group_symop_operation_xyz
'x,y,z'
'-x,-y,-z'
loop_
_atom_site_label
_atom_site_type_symbol
_atom_site_fract_x
_atom_site_fract_y
_atom_site_fract_z
V1 V 0.098 0.472 0.304
Tc1 Tc 0.000 0.000 0.500
W1 W 0.293 0.350 0.913
W2 W 0.299 0.861 0.901
W3 W 0.497 0.255 0.506
```

Results
**Crystal system**: triclinic
**Magnetization**: 0.000 μB per formula unit
**Volume**: 149 Å³ per cell

***

<ii>
Material: V2TcW6
Method: DFT, PBE
State: optimized geometry

The structure in CIF format:
```
data_V2TcW6
_space_group_name_H-M_alt 'P n n m'
_space_group_IT_number 58
_cell_length_a 7.852
_cell_length_b 7.960
_cell_length_c 4.476
_cell_angle_alpha 90.00
_cell_angle_beta 90.00
_cell_angle_gamma 90.00
loop_
_space_group_symop_operation_xyz
'x,y,z'
'-x,-y,-z'
'-x,-y,z'
'x,y,-z'
'x+1/2,-y+1/2,-z+1/2'
'-x+1/2,y+1/2,z+1/2'
'-x+1/2,y+1/2,-z+1/2'
'x+1/2,-y+1/2,z+1/2'
loop_
_atom_site_label
_atom_site_type_symbol
_atom_site_fract_x
_atom_site_fract_y
_atom_site_fract_z
V1 V 0.163 0.233 0.000
Tc1 Tc 0.000 0.000 0.500
W1 W 0.001 0.669 0.500
W2 W 0.166 0.567 0.000
W3 W 0.166 0.902 0.000
```

Results
**Crystal system**: orthorhombic
**Magnetization**: 0.000 μB per formula unit
**Volume**: 280 Å³ per cell

***

Short version: <ii>, <i>, most stable first.